Record 1
3
Lattice="0.0000 3.5280 3.5280 3.5280 0.0000 3.5280 3.5280 3.5280 0.0000" Properties=species:S:1:pos:R:3 comment="CaAlPb | the Alexandria database | meta-GGA SCAN | single point on PBEsol structure" dos_ef_per_ev_fu=1.3 m_tot_mub_per_cell=0.00 crystal_system=cubic e_tot_ev_per_atom=-30.9747 ef_kj_per_mol_atoms=8.8 pbc="T T T"
Ca 0.0000 0.0000 0.0000
Al 1.7640 1.7640 1.7640
Pb 5.2920 5.2920 5.2920

---

Record 2
5
Lattice="5.3606 0.0000 0.0000 0.0000 5.3606 0.0000 0.0000 0.0000 4.9930" Properties=species:S:1:pos:R:3 comment="Ca2AlPbW | the Alexandria database | meta-GGA SCAN | single point on PBEsol structure" dos_ef_per_ev_fu=3.7 m_tot_mub_per_cell=0.00 crystal_system=tetragonal e_tot_ev_per_atom=-33.6698 ef_kj_per_mol_atoms=81.0 pbc="T T T"
Ca 0.0000 2.6803 0.0000
Ca 2.6803 0.0000 0.0000
Al 0.0000 0.0000 2.4965
Pb 2.6803 2.6803 2.4965
W 0.0000 0.0000 0.0000

---

Record 3
8
Lattice="-5.1254 5.1254 2.3946 5.1254 -5.1254 2.3946 5.1254 5.1254 -2.3946" Properties=species:S:1:pos:R:3 comment="Ca2AlPd | the Alexandria database | meta-GGA SCAN | single point on PBEsol structure" dos_ef_per_ev_fu=2.7 m_tot_mub_per_cell=0.00 crystal_system=tetragonal e_tot_ev_per_atom=-15.3004 ef_kj_per_mol_atoms=-32.5 pbc="T T T"
Ca 0.9426 2.5627 0.5986
Ca -2.5627 4.1827 1.7959
Ca -0.9426 7.6881 0.5986
Ca 2.5627 6.0680 1.7959
Al 5.1254 0.0000 1.1973
Al 0.0000 0.0000 2.3946
Pd 0.0000 0.0000 0.0000
Pd 0.0000 5.1254 1.1973